<one>
Computed, not measured: a relaxed Ba2GaSe2 crystal at the PBE-GGA level of DFT.

The calculation puts the density at 3.5 Mg/m³.

It has space group I4/mmm (No. 139), with a = 5.863 Å, b = 5.863 Å, c = 13.807 Å, α = 90.00°, β = 90.00° and γ = 90.00°. The distinct sites, in fractional coordinates, are Ba at (0.000, 0.500, 0.250), Ga at (0.000, 0.000, 0.000) and Se at (0.000, 0.000, 0.345).

<two>
Computed, not measured: a relaxed Ba2GaSe2 crystal at the PBE-GGA level of DFT.

The calculation puts the density at 5.1 Mg/m³.

It has space group P4/mbm (No. 127), with a = 8.681 Å, b = 8.681 Å, c = 4.352 Å, α = 90.00°, β = 90.00° and γ = 90.00°. The distinct sites, in fractional coordinates, are Ba at (0.155, 0.345, 0.000), Ga at (0.000, 0.000, 0.500) and Se at (0.153, 0.653, 0.500).

Stability ranking, top entry: <two>; the second entry is 46.2 kJ/mol of atoms less favorable.

<one>
Computed, not measured: a relaxed BaGaSe3 crystal at the PBE-GGA level of DFT.

The calculation puts the density at 5.4 Mg/m³.

It has space group Pm-3m (No. 221), with a = 5.149 Å, b = 5.149 Å, c = 5.149 Å, α = 90.00°, β = 90.00° and γ = 90.00°. The distinct sites, in fractional coordinates, are Ba at (0.000, 0.000, 0.000), Ga at (0.500, 0.500, 0.500) and Se at (0.000, 0.500, 0.500).

<two>
Computed, not measured: a relaxed BaGaSe3 crystal at the PBE-GGA level of DFT.

The calculation puts the density at 3.1 Mg/m³.

It has space group Pm-3m (No. 221), with a = 6.205 Å, b = 6.205 Å, c = 6.205 Å, α = 90.00°, β = 90.00° and γ = 90.00°. The distinct sites, in fractional coordinates, are Ba at (0.000, 0.000, 0.000), Ga at (0.500, 0.500, 0.500) and Se at (0.000, 0.000, 0.500).

Stability ranking, top entry: <one>; the second entry is 94.0 kJ/mol of atoms less favorable.

<one>
Computed, not measured: a relaxed Ba3GaSi crystal at the PBE-GGA level of DFT.

The calculation puts the density at 3.3 Mg/m³.

It has space group Pm-3m (No. 221), with a = 6.355 Å, b = 6.355 Å, c = 6.355 Å, α = 90.00°, β = 90.00° and γ = 90.00°. The distinct sites, in fractional coordinates, are Ba at (0.000, 0.000, 0.500), Ga at (0.500, 0.500, 0.500) and Si at (0.000, 0.000, 0.000).

<two>
Computed, not measured: a relaxed Ba3GaSi crystal at the PBE-GGA level of DFT.

The calculation puts the density at 4.3 Mg/m³.

It has space group C2/m (No. 12), with a = 18.190 Å, b = 4.430 Å, c = 9.850 Å, α = 90.00°, β = 92.73° and γ = 90.00°. The distinct sites, in fractional coordinates, are Ba at (0.050, 0.000, 0.159), Ba at (0.100, 0.500, 0.588), Ba at (0.240, 0.000, 0.826), Ga at (0.217, 0.000, 0.458) and Si at (0.110, 0.500, 0.926).

Stability ranking, top entry: <two>; the second entry is 27.3 kJ/mol of atoms less favorable.

<one>
Computed, not measured: a relaxed Ba3Ga2Si4 crystal at the PBE-GGA level of DFT.

The calculation puts the density at 4.7 Mg/m³.

It has space group C2/m (No. 12), with a = 12.934 Å, b = 4.270 Å, c = 9.007 Å, α = 90.00°, β = 108.43° and γ = 90.00°. The distinct sites, in fractional coordinates, are Ba at (0.000, 0.000, 0.000), Ba at (0.102, 0.500, 0.679), Ga at (0.202, 0.500, 0.330), Si at (0.126, 0.000, 0.400) and Si at (0.221, 0.500, 0.050).

<two>
Computed, not measured: a relaxed Ba3Ga2Si4 crystal at the PBE-GGA level of DFT.

The calculation puts the density at 4.6 Mg/m³.

It has space group C2/m (No. 12), with a = 12.592 Å, b = 4.240 Å, c = 8.923 Å, α = 90.00°, β = 90.37° and γ = 90.00°. The distinct sites, in fractional coordinates, are Ba at (0.000, 0.000, 0.000), Ba at (0.166, 0.500, 0.670), Ga at (0.111, 0.500, 0.278), Si at (0.058, 0.000, 0.394) and Si at (0.218, 0.500, 0.048).

Stability ranking, top entry: <two>; the second entry is 5.9 kJ/mol of atoms less favorable.

<one>
Computed, not measured: a relaxed BaSmGa crystal at the PBE-GGA level of DFT.

The calculation puts the density at 5.6 Mg/m³.

It has space group I4mm (No. 107), with a = 3.912 Å, b = 3.912 Å, c = 13.746 Å, α = 90.00°, β = 90.00° and γ = 90.00°. The distinct sites, in fractional coordinates, are Ba at (0.000, 0.000, 0.000), Sm at (0.000, 0.000, 0.264) and Ga at (0.000, 0.000, 0.668).

<two>
Computed, not measured: a relaxed BaSmGa crystal at the PBE-GGA level of DFT.

The calculation puts the density at 5.7 Mg/m³.

It has space group Amm2 (No. 38), with a = 14.182 Å, b = 5.420 Å, c = 5.426 Å, α = 90.00°, β = 90.00° and γ = 90.00°. The distinct sites, in fractional coordinates, are Ba at (0.153, 0.000, 0.000), Sm at (0.386, 0.000, 0.498), Ga at (0.000, 0.000, 0.500) and Ga at (0.500, 0.000, 0.997).

Stability ranking, top entry: <one>; the second entry is 3.3 kJ/mol of atoms less favorable.

<one>
Computed, not measured: a relaxed BaSm2Ga crystal at the PBE-GGA level of DFT.

The calculation puts the density at 5.9 Mg/m³.

It has space group R-3m (No. 166, hexagonal axes), with a = 3.7758 Å, b = 3.7758 Å, c = 34.8265 Å, α = 90.00°, β = 90.00° and γ = 120.00°. The distinct sites, in fractional coordinates, are Ba at (0.0000, 0.0000, 0.0000), Sm at (0.0000, 0.0000, 0.1072) and Ga at (0.0000, 0.0000, 0.5000).

<two>
Computed, not measured: a relaxed BaSm2Ga crystal at the PBE-GGA level of DFT.

The calculation puts the density at 6.1 Mg/m³.

It has space group P4/mmm (No. 123), with a = 3.738 Å, b = 3.738 Å, c = 9.870 Å, α = 90.00°, β = 90.00° and γ = 90.00°. The distinct sites, in fractional coordinates, are Ba at (0.000, 0.000, 0.000), Sm at (0.500, 0.500, 0.327) and Ga at (0.000, 0.000, 0.500).

Stability ranking, top entry: <two>; the second entry is 14.0 kJ/mol of atoms less favorable.

<one>
Computed, not measured: a relaxed Ba2Ga5Sn3 crystal at the PBE-GGA level of DFT.

The calculation puts the density at 6.0 Mg/m³.

It has space group C2/c (No. 15), with a = 15.598 Å, b = 10.701 Å, c = 7.116 Å, α = 90.00°, β = 114.66° and γ = 90.00°. The distinct sites, in fractional coordinates, are Ba at (0.127, 0.243, 0.126), Ga at (0.000, 0.005, 0.250), Ga at (0.134, 0.382, 0.636), Ga at (0.243, 0.495, 0.995), Sn at (0.000, 0.496, 0.250) and Sn at (0.127, 0.123, 0.627).

<two>
Computed, not measured: a relaxed Ba2Ga5Sn3 crystal at the PBE-GGA level of DFT.

The calculation puts the density at 6.0 Mg/m³.

It has space group P-4m2 (No. 115), with a = 5.039 Å, b = 5.039 Å, c = 10.753 Å, α = 90.00°, β = 90.00° and γ = 90.00°. The distinct sites, in fractional coordinates, are Ba at (0.000, 0.500, 0.235), Ga at (0.000, 0.000, 0.000), Ga at (0.000, 0.000, 0.500), Ga at (0.000, 0.500, 0.898), Ga at (0.500, 0.500, 0.000), Sn at (0.000, 0.500, 0.639) and Sn at (0.500, 0.500, 0.500).

Stability ranking, top entry: <one>; the second entry is 3.9 kJ/mol of atoms less favorable.

<one>
Computed, not measured: a relaxed Ba2GaSn3 crystal at the PBE-GGA level of DFT.

The calculation puts the density at 5.6 Mg/m³.

It has space group Pmm2 (No. 25), with a = 4.802 Å, b = 5.009 Å, c = 8.657 Å, α = 90.00°, β = 90.00° and γ = 90.00°. The distinct sites, in fractional coordinates, are Ba at (0.000, 0.000, 0.000), Ba at (0.500, 0.000, 0.497), Ga at (0.000, 0.500, 0.667), Sn at (0.000, 0.500, 0.352), Sn at (0.500, 0.500, 0.160) and Sn at (0.500, 0.500, 0.817).

<two>
Computed, not measured: a relaxed Ba2GaSn3 crystal at the PBE-GGA level of DFT.

The calculation puts the density at 5.6 Mg/m³.

It has space group Cm (No. 8), with a = 13.531 Å, b = 4.702 Å, c = 8.144 Å, α = 90.00°, β = 126.96° and γ = 90.00°. The distinct sites, in fractional coordinates, are Ba at (0.000, 0.000, 0.000), Ba at (0.009, 0.500, 0.503), Ga at (0.198, 0.500, 0.364), Sn at (0.210, 0.000, 0.873), Sn at (0.286, 0.000, 0.599) and Sn at (0.294, 0.500, 0.143).

Stability ranking, top entry: <two>; the second entry is 4.5 kJ/mol of atoms less favorable.